[1]
First-principles (PBE) data for crystalline Ba2YMo at its relaxed geometry, as listed in Alexandria.

a b c (Å): 3.4919 3.4919 11.8441
angles (deg): 90.00 90.00 109.35
Last column: magnetic moment on the atom in μB.
Fractional coordinates of all 4 atoms:
Ba  0.0000  0.0000  0.0450  0.01
Y  0.5000  0.5000  0.7500  0.01
Ba  0.0000  0.0000  0.4550  0.01
Mo  0.5000  0.5000  0.2500  0.71

Output
For the energy of formation from the pure elements, the calculation gives 97.12 kJ/mol of atoms.

[2]
First-principles (PBE) data for crystalline Ba2YMo at its relaxed geometry, as listed in Alexandria.

a b c (Å): 3.9223 3.9204 10.4748
angles (deg): 67.99 90.00 90.00
Fractional coordinates of all 4 atoms:
Ba  0.0000  0.0588  0.9405
Y  0.5000  0.8252  0.6750
Ba  0.5000  0.1767  0.3234
Mo  0.0000  0.4394  0.5611

Output
For the energy of formation from the pure elements, the calculation gives 56.47 kJ/mol of atoms.

[3]
First-principles (PBE) data for crystalline Ba2YMo at its relaxed geometry, as listed in Alexandria.

a b c (Å): 11.9843 11.9843 11.9843
angles (deg): 17.67 17.67 17.67
Last column: magnetic moment on the atom in μB.
Fractional coordinates of all 4 atoms:
Mo  0.2500  0.2500  0.2500  1.58
Ba  0.5130  0.5130  0.5130  -0.02
Ba  0.9870  0.9870  0.9870  -0.02
Y  0.7500  0.7500  0.7500  -0.05

Output
For the energy of formation from the pure elements, the calculation gives 96.72 kJ/mol of atoms.

[4]
First-principles (PBE) data for crystalline BaYMo3 at its relaxed geometry, as listed in Alexandria.

a b c (Å): 5.1557 5.1557 5.1557
angles (deg): 90.00 90.00 90.00
Last column: magnetic moment on the atom in μB.
Fractional coordinates of all 5 atoms:
Mo  0.0000  0.5000  0.0000  1.26
Mo  0.5000  0.0000  0.0000  1.37
Ba  0.5000  0.5000  0.5000  0.08
Y  0.0000  0.0000  0.0000  0.01
Mo  0.0000  0.0000  0.5000  1.11

Output
For the energy of formation from the pure elements, the calculation gives 202.23 kJ/mol of atoms.

[5]
First-principles (PBE) data for crystalline BaY3Mo at its relaxed geometry, as listed in Alexandria.

a b c (Å): 5.4831 5.4831 5.4831
angles (deg): 90.00 90.00 90.00
Fractional coordinates of all 5 atoms:
Y  0.0000  0.5000  0.0000
Mo  0.5000  0.5000  0.5000
Y  0.0000  0.0000  0.5000
Y  0.5000  0.0000  0.0000
Ba  0.0000  0.0000  0.0000

Output
For the energy of formation from the pure elements, the calculation gives 184.39 kJ/mol of atoms.

[6]
First-principles (PBE) data for crystalline Ba2YMo at its relaxed geometry, as listed in Alexandria.

a b c (Å): 7.2842 7.2842 7.2842
angles (deg): 149.51 128.63 60.93
Last column: magnetic moment on the atom in μB.
Fractional coordinates of all 4 atoms:
Ba  0.9948  0.9948  0.0000  -0.01
Ba  0.2993  0.7993  0.5000  -0.03
Mo  0.5194  0.5194  0.0000  1.78
Y  0.6865  0.1865  0.5000  0.01

Output
For the energy of formation from the pure elements, the calculation gives 72.12 kJ/mol of atoms.

[7]
First-principles (PBE) data for crystalline Ba2YMo at its relaxed geometry, as listed in Alexandria.

a b c (Å): 3.8407 3.8407 9.9389
angles (deg): 90.00 90.00 90.00
Last column: magnetic moment on the atom in μB.
Fractional coordinates of all 4 atoms:
Ba  0.0000  0.0000  0.0407  -0.03
Ba  0.0000  0.0000  0.4593  -0.03
Mo  0.5000  0.5000  0.2500  2.38
Y  0.5000  0.5000  0.7500  -0.47

Output
For the energy of formation from the pure elements, the calculation gives 90.46 kJ/mol of atoms.

[8]
First-principles (PBE) data for crystalline Ba2YMo at its relaxed geometry, as listed in Alexandria.

a b c (Å): 12.0682 12.0682 8.9270
angles (deg): 47.47 47.47 90.00
Fractional coordinates of all 8 atoms:
Y  0.5000  0.5000  0.0000
Mo  0.7500  0.2500  0.5000
Ba  0.8750  0.0531  0.7500
Mo  0.0000  0.0000  0.0000
Ba  0.8031  0.1250  0.2500
Ba  0.9469  0.6250  0.2500
Ba  0.3750  0.1969  0.7500
Y  0.2500  0.7500  0.5000

Output
For the energy of formation from the pure elements, the calculation gives 89.85 kJ/mol of atoms.